TbHo6Al2: optimized geometry, PBE-GGA.

Cell lengths 3.6511, 6.4993, 11.5090 Å; angles 75.41, 80.87, 73.69 degrees
Positions (direct):
Ho 0.0208 0.2899 0.6684
Ho 0.3121 0.5005 0.8753
Al 0.6483 0.9102 0.7931
Al 0.3517 0.0898 0.2069
Ho 0.9792 0.7101 0.3316
Ho 0.3107 0.7914 0.5873
Ho 0.6879 0.4995 0.1247
Tb 0.0000 0.0000 0.0000
Ho 0.6893 0.2086 0.4127

Summary:
Size of the total moment: 0.00 μB per cell
Energy: -0.3356 Ry per atom
Crystal system: monoclinic